Material: FeSb2As
Method: DFT, PBEsol
State: optimized geometry

Cell: 5.9657 5.9657 7.2480 Å, 114.30 114.30 90.00°
Element x y z (fractional)
Sb1 0.4163 0.8750 0.2500
Sb2 0.8337 0.3750 0.2500
Sb3 0.1250 0.1663 0.7500
Sb4 0.6250 0.5837 0.7500
As1 0.2500 0.7500 0.5000
As2 0.0000 0.0000 0.0000
Fe1 0.7500 0.2500 0.5000
Fe2 0.5000 0.5000 0.0000

Computed properties:
Electronic total energy ... -5.4090 eV/atom
Energy relative to the elements, uncorrected ... 1.5 eV per formula unit
Magnetic moment ... 3.398 μB per cell

---

Material: FeSbAs2
Method: DFT, PBEsol
State: optimized geometry

Cell: 3.2865 4.3343 5.9553 Å, 107.93 90.00 112.28°
Element x y z (fractional)
As1 0.0263 0.0525 0.9559
As2 0.1755 0.3510 0.6295
Fe1 0.4689 0.9378 0.6423
Sb1 0.8293 0.6586 0.2723

Computed properties:
Electronic total energy ... -5.8955 eV/atom
Energy relative to the elements, uncorrected ... 0.2 eV per formula unit
Magnetic moment ... 0.000 μB per cell

---

Material: Fe2SbAs
Method: DFT, PBEsol
State: optimized geometry

Cell: 4.2754 4.2754 4.2754 Å, 60.00 60.00 60.00°
Element x y z (fractional)
As1 0.5000 0.5000 0.5000
Fe1 0.2500 0.2500 0.2500
Fe2 0.7500 0.7500 0.7500
Sb1 0.0000 0.0000 0.0000

Computed properties:
Electronic total energy ... -6.6756 eV/atom
Energy relative to the elements, uncorrected ... 0.9 eV per formula unit
Magnetic moment ... 1.948 μB per cell

---

Material: FeSbAs2
Method: DFT, PBEsol
State: optimized geometry

Cell: 2.9063 2.9063 8.5719 Å, 90.00 90.00 90.00°
Element x y z (fractional)
As1 0.0000 0.0000 0.8329
As2 0.0000 0.0000 0.1671
Fe1 0.5000 0.5000 0.0000
Sb1 0.5000 0.5000 0.5000

Computed properties:
Electronic total energy ... -5.8762 eV/atom
Energy relative to the elements, uncorrected ... 0.2 eV per formula unit
Magnetic moment ... 0.676 μB per cell

---

Material: Fe2SbAs
Method: DFT, PBEsol
State: optimized geometry

Cell: 2.8910 3.4918 6.2557 Å, 106.21 103.36 90.00°
Element x y z (fractional)
As1 0.2064 0.7064 0.4128
Fe1 0.0722 0.0722 0.1444
Fe2 0.7662 0.2662 0.5323
Sb1 0.4552 0.4552 0.9105

Computed properties:
Electronic total energy ... -6.8336 eV/atom
Energy relative to the elements, uncorrected ... 0.3 eV per formula unit
Magnetic moment ... 1.694 μB per cell

---

Material: Fe2SbAs
Method: DFT, PBEsol
State: optimized geometry

Cell: 3.6064 3.6064 5.2550 Å, 110.07 110.07 90.00°
Element x y z (fractional)
As1 0.2500 0.7500 0.5000
Fe1 0.0000 0.0000 0.0000
Fe2 0.7500 0.2500 0.5000
Sb1 0.5000 0.5000 0.0000

Computed properties:
Electronic total energy ... -6.5145 eV/atom
Energy relative to the elements, uncorrected ... 1.5 eV per formula unit
Magnetic moment ... 3.626 μB per cell

---

Material: FeSb2As
Method: DFT, PBEsol
State: optimized geometry

Cell: 3.3139 4.9962 4.9962 Å, 97.88 98.09 98.09°
Element x y z (fractional)
As1 0.5000 0.5000 0.5000
Fe1 0.5000 0.0000 0.0000
Sb1 0.0000 0.5000 0.0000
Sb2 0.0000 0.0000 0.5000

Computed properties:
Electronic total energy ... -5.3120 eV/atom
Energy relative to the elements, uncorrected ... 1.9 eV per formula unit
Magnetic moment ... 2.411 μB per cell

---

Material: FeSb2As
Method: DFT, PBEsol
State: optimized geometry

Cell: 4.8459 4.8459 4.8459 Å, 60.00 60.00 60.00°
Element x y z (fractional)
As1 0.5000 0.5000 0.5000
Fe1 0.2500 0.2500 0.2500
Sb1 0.0000 0.0000 0.0000
Sb2 0.7500 0.7500 0.7500

Computed properties:
Electronic total energy ... -5.2251 eV/atom
Energy relative to the elements, uncorrected ... 2.3 eV per formula unit
Magnetic moment ... 2.413 μB per cell

---

Material: FeSbAs2
Method: DFT, PBEsol
State: optimized geometry

Cell: 3.1555 3.1555 7.0770 Å, 90.00 90.00 90.00°
Element x y z (fractional)
As1 0.0000 0.0000 0.0667
As2 0.5000 0.5000 0.2859
Fe1 0.0000 0.0000 0.4519
Sb1 0.5000 0.5000 0.6955

Computed properties:
Electronic total energy ... -5.7669 eV/atom
Energy relative to the elements, uncorrected ... 0.7 eV per formula unit
Magnetic moment ... 1.256 μB per cell

---

Material: ScFe2As
Method: DFT, PBEsol
State: optimized geometry

Cell: 3.7743 3.7743 4.6766 Å, 113.80 113.80 90.00°
Element x y z (fractional)
As1 0.2500 0.7500 0.5000
Fe1 0.0000 0.0000 0.0000
Fe2 0.7500 0.2500 0.5000
Sc1 0.5000 0.5000 0.0000

Computed properties:
ΔE_f ... -0.22 eV per atom
Electronic total energy ... -7.6303 eV/atom
Magnetic moment ... 3.646 μB per cell

---

Material: ScFe2As
Method: DFT, PBEsol
State: optimized geometry

Cell: 3.8447 3.8447 5.1079 Å, 67.89 67.89 60.00°
Element x y z (fractional)
As1 0.7163 0.7163 0.8510
Fe1 0.9820 0.9820 0.0540
Fe2 0.3001 0.3001 0.0996
Sc1 0.5058 0.5058 0.4827

Computed properties:
ΔE_f ... -0.39 eV per atom
Electronic total energy ... -7.7962 eV/atom
Magnetic moment ... 1.923 μB per cell

---

Material: ScFe2As
Method: DFT, PBEsol
State: optimized geometry

Cell: 3.1799 3.1799 5.5024 Å, 90.00 90.00 90.00°
Element x y z (fractional)
As1 0.5000 0.5000 0.5000
Fe1 0.0000 0.0000 0.7174
Fe2 0.0000 0.0000 0.2826
Sc1 0.5000 0.5000 0.0000

Computed properties:
ΔE_f ... -0.17 eV per atom
Electronic total energy ... -7.5776 eV/atom
Magnetic moment ... 3.151 μB per cell

---

Material: ScFeAsSe2
Method: DFT, PBEsol
State: optimized geometry

Cell: 4.9920 4.9920 5.0317 Å, 90.00 90.00 90.00°
Element x y z (fractional)
Sc1 0.0000 0.0000 0.0000
As1 0.0000 0.0000 0.5000
Fe1 0.5000 0.5000 0.5000
Se1 0.0000 0.5000 0.0000
Se2 0.5000 0.0000 0.0000

Computed properties:
Electronic total energy ... -5.2594 eV/atom
Energy relative to the elements, uncorrected ... 2.1 eV per formula unit
Magnetic moment ... 3.564 μB per cell

---

Material: FeAs2Se
Method: DFT, PBEsol
State: optimized geometry

Cell: 2.9185 4.0733 6.4757 Å, 108.33 103.02 90.00°
Element x y z (fractional)
As1 0.9775 0.9775 0.9550
As2 0.8372 0.3372 0.6744
Fe1 0.5148 0.5148 0.0295
Se1 0.1705 0.6705 0.3410

Computed properties:
Electronic total energy ... -5.6211 eV/atom
Energy relative to the elements, uncorrected ... 0.5 eV per formula unit
Magnetic moment ... 1.557 μB per cell

---

Material: Fe2AsSe
Method: DFT, PBEsol
State: optimized geometry

Cell: 3.0269 4.0744 5.9443 Å, 105.10 90.00 111.81°
Element x y z (fractional)
As1 0.7564 0.5129 0.1357
Fe1 0.0021 0.0042 0.9611
Fe2 0.2466 0.4932 0.7908
Se1 0.4948 0.9897 0.6125

Computed properties:
Electronic total energy ... -6.7153 eV/atom
Energy relative to the elements, uncorrected ... 0.0 eV per formula unit
Magnetic moment ... 4.050 μB per cell

---

Material: Fe2AsSe
Method: DFT, PBEsol
State: optimized geometry

Cell: 3.0744 3.2232 6.0940 Å, 105.33 104.61 90.00°
Element x y z (fractional)
As1 0.2068 0.7068 0.4136
Fe1 0.0496 0.0496 0.0992
Fe2 0.7878 0.2878 0.5755
Se1 0.4558 0.4558 0.9116

Computed properties:
Electronic total energy ... -6.7053 eV/atom
Energy relative to the elements, uncorrected ... 0.1 eV per formula unit
Magnetic moment ... 3.525 μB per cell

---

Material: FeSiAs2Se
Method: DFT, PBEsol
State: optimized geometry

Cell: 4.6656 4.6656 4.7119 Å, 90.00 90.00 90.00°
Element x y z (fractional)
As1 0.0000 0.5000 0.0000
As2 0.5000 0.0000 0.0000
Si1 0.0000 0.0000 0.0000
Fe1 0.5000 0.5000 0.5000
Se1 0.0000 0.0000 0.5000

Computed properties:
Electronic total energy ... -4.8006 eV/atom
Energy relative to the elements, uncorrected ... 4.8 eV per formula unit
Magnetic moment ... 3.068 μB per cell

---

Material: TiFeAs2Se
Method: DFT, PBEsol
State: optimized geometry

Cell: 4.7630 4.8059 4.8059 Å, 90.00 90.00 90.00°
Element x y z (fractional)
As1 0.0000 0.0000 0.5000
As2 0.0000 0.5000 0.0000
Fe1 0.5000 0.5000 0.5000
Se1 0.5000 0.0000 0.0000
Ti1 0.0000 0.0000 0.0000

Computed properties:
Electronic total energy ... -5.7188 eV/atom
Energy relative to the elements, uncorrected ... 2.8 eV per formula unit
Magnetic moment ... 3.311 μB per cell

---

Material: FeAsWSe2
Method: DFT, PBEsol
State: optimized geometry

Cell: 4.8399 4.8399 4.8816 Å, 90.00 90.00 90.00°
Element x y z (fractional)
As1 0.0000 0.0000 0.5000
Se1 0.0000 0.5000 0.0000
Se2 0.5000 0.0000 0.0000
W1 0.0000 0.0000 0.0000
Fe1 0.5000 0.5000 0.5000

Computed properties:
Electronic total energy ... -6.1666 eV/atom
Energy relative to the elements, uncorrected ... 4.7 eV per formula unit
Magnetic moment ... 3.852 μB per cell

---

Material: FeSi2As
Method: DFT, PBEsol
State: optimized geometry

Cell: 2.8259 2.8259 6.8669 Å, 90.00 90.00 90.00°
Element x y z (fractional)
As1 0.0000 0.0000 0.5572
Fe1 0.5000 0.5000 0.7787
Si1 0.0000 0.0000 0.9629
Si2 0.5000 0.5000 0.2013

Computed properties:
Electronic total energy ... -6.3781 eV/atom
Energy relative to the elements, uncorrected ... 0.1 eV per formula unit
Magnetic moment ... 0.598 μB per cell
Offset from the most stable computed form ... 0.000 eV per formula unit